{
  "formula": "KCoHg2As",
  "functional": "PBE-GGA",
  "state": "optimized geometry",
  "spacegroup": "No. 123",
  "e_form_mev_per_atom": -80,
  "cell": [[5.201, 0.000, 0.000], [0.000, 5.201, 0.000], [0.000, 0.000, 4.526]],
  "species": ["K", "Co", "Hg", "Hg", "As"],
  "fractional_positions": [[0.000, 0.000, 0.000], [0.500, 0.500, 0.500], [0.000, 0.500, 0.500], [0.500, 0.000, 0.500], [0.500, 0.500, 0.000]]
}

***

{
  "formula": "CsFe2P2",
  "functional": "PBE-GGA",
  "state": "optimized geometry",
  "spacegroup": "No. 139",
  "e_form_mev_per_atom": -498,
  "cell": [[-1.912, 1.912, 7.096], [1.912, -1.912, 7.096], [1.912, 1.912, -7.096]],
  "species": ["Cs", "Fe", "Fe", "P", "P"],
  "fractional_positions": [[0.000, 0.000, 0.000], [0.250, 0.750, 0.500], [0.750, 0.250, 0.500], [0.325, 0.325, 0.000], [0.675, 0.675, 0.000]]
}

***

{
  "formula": "CuI2O2",
  "functional": "PBE-GGA",
  "state": "optimized geometry",
  "formation_energy_uncorrected_kj_per_mol_fu": 261.5,
  "spacegroup": "No. 123",
  "de_polymorph_ev_per_fu": 2.07,
  "cell": [[4.144, 0.000, 0.000], [0.000, 4.144, 0.000], [0.000, 0.000, 6.424]],
  "species": ["Cu", "I", "I", "O", "O"],
  "fractional_positions": [[0.000, 0.000, 0.000], [0.000, 0.000, 0.500], [0.500, 0.500, 0.500], [0.000, 0.500, 0.000], [0.500, 0.000, 0.000]]
}

***

{
  "formula": "Na2Pd3Se4",
  "functional": "PBE-GGA",
  "state": "optimized geometry",
  "formation_energy_uncorrected_kj_per_mol_fu": -498.4,
  "spacegroup": "No. 69",
  "cell": [[0.000, 5.773, 6.093], [2.999, 0.000, 6.093], [2.999, 5.773, 0.000]],
  "species": ["Na", "Na", "Pd", "Pd", "Pd", "Se", "Se", "Se", "Se"],
  "fractional_positions": [[0.143, 0.143, 0.857], [0.857, 0.857, 0.143], [0.000, 0.000, 0.500], [0.500, 0.500, 0.000], [0.500, 0.500, 0.500], [0.205, 0.520, 0.480], [0.480, 0.795, 0.205], [0.520, 0.205, 0.795], [0.795, 0.480, 0.520]]
}

***

{
  "formula": "AlGePd3",
  "functional": "PBE-GGA",
  "state": "optimized geometry",
  "spacegroup": "No. 62",
  "de_polymorph_ev_per_fu": 0.00,
  "e_form_mev_per_atom": -560,
  "cell": [[6.559, 0.000, 0.000], [0.000, 7.464, 0.000], [0.000, 0.000, 6.453]],
  "species": ["Al", "Al", "Al", "Al", "Ge", "Ge", "Ge", "Ge", "Pd", "Pd", "Pd", "Pd", "Pd", "Pd", "Pd", "Pd", "Pd", "Pd", "Pd", "Pd"],
  "fractional_positions": [[0.000, 0.000, 0.000], [0.000, 0.500, 0.000], [0.500, 0.000, 0.500], [0.500, 0.500, 0.500], [0.161, 0.250, 0.428], [0.339, 0.750, 0.928], [0.661, 0.250, 0.072], [0.839, 0.750, 0.572], [0.111, 0.750, 0.255], [0.152, 0.557, 0.651], [0.152, 0.943, 0.651], [0.348, 0.057, 0.151], [0.348, 0.443, 0.151], [0.389, 0.250, 0.755], [0.611, 0.750, 0.245], [0.652, 0.557, 0.849], [0.652, 0.943, 0.849], [0.848, 0.057, 0.349], [0.848, 0.443, 0.349], [0.889, 0.250, 0.745]]
}

***

{
  "formula": "MgTeAs2",
  "functional": "PBE-GGA",
  "state": "optimized geometry",
  "formation_energy_uncorrected_kj_per_mol_fu": 42.1,
  "spacegroup": "No. 123",
  "de_polymorph_ev_per_fu": 1.43,
  "cell": [[4.995, 0.000, 0.000], [0.000, 4.995, 0.000], [0.000, 0.000, 3.502]],
  "species": ["Mg", "Te", "As", "As"],
  "fractional_positions": [[0.000, 0.000, 0.000], [0.500, 0.500, 0.000], [0.000, 0.500, 0.500], [0.500, 0.000, 0.500]]
}

***

{
  "formula": "SiGe3N",
  "functional": "PBE-GGA",
  "state": "optimized geometry",
  "formation_energy_uncorrected_kj_per_mol_fu": 368.4,
  "spacegroup": "No. 221",
  "de_polymorph_ev_per_fu": 0.00,
  "cell": [[4.376, 0.000, 0.000], [0.000, 4.376, 0.000], [0.000, 0.000, 4.376]],
  "species": ["Si", "Ge", "Ge", "Ge", "N"],
  "fractional_positions": [[0.000, 0.000, 0.000], [0.000, 0.500, 0.500], [0.500, 0.000, 0.500], [0.500, 0.500, 0.000], [0.500, 0.500, 0.500]]
}

***

{
  "formula": "BaMn4Cl12",
  "functional": "PBE-GGA",
  "state": "optimized geometry",
  "formation_energy_uncorrected_kj_per_mol_fu": -2050.5,
  "spacegroup": "No. 204",
  "cell": [[-4.727, 4.727, 4.727], [4.727, -4.727, 4.727], [4.727, 4.727, -4.727]],
  "species": ["Ba", "Mn", "Mn", "Mn", "Mn", "Cl", "Cl", "Cl", "Cl", "Cl", "Cl", "Cl", "Cl", "Cl", "Cl", "Cl", "Cl"],
  "fractional_positions": [[0.000, 0.000, 0.000], [0.000, 0.000, 0.500], [0.000, 0.500, 0.000], [0.500, 0.000, 0.000], [0.500, 0.500, 0.500], [0.098, 0.806, 0.292], [0.194, 0.292, 0.486], [0.194, 0.708, 0.902], [0.292, 0.098, 0.806], [0.292, 0.486, 0.194], [0.486, 0.194, 0.292], [0.514, 0.806, 0.708], [0.708, 0.514, 0.806], [0.708, 0.902, 0.194], [0.806, 0.292, 0.098], [0.806, 0.708, 0.514], [0.902, 0.194, 0.708]]
}